(1)
DFT (PBE) results for RbNaNb2 after structural relaxation.

The value obtained for the formation enthalpy at 0 K is 2.150 eV per atom.

The space group is Fm-3m (No. 225) and the conventional cell measures 7.420, 7.420 and 7.420 Å, with angles of 90.00, 90.00 and 90.00 degrees. The asymmetric unit holds Rb at (0.000, 0.000, 0.000), Na at (0.000, 0.000, 0.500) and Nb at (0.250, 0.250, 0.250).



(2)
DFT (PBE) results for RbNa2Nb after structural relaxation.

The value obtained for the formation enthalpy at 0 K is 1.095 eV per atom.

The space group is Fm-3m (No. 225) and the conventional cell measures 8.438, 8.438 and 8.438 Å, with angles of 90.00, 90.00 and 90.00 degrees. The asymmetric unit holds Rb at (0.000, 0.000, 0.000), Na at (0.250, 0.250, 0.250) and Nb at (0.000, 0.000, 0.500).



(3)
DFT (PBE) results for RbNa3Nb after structural relaxation.

The value obtained for the formation enthalpy at 0 K is 1.427 eV per atom.

The space group is Pm-3m (No. 221) and the conventional cell measures 5.976, 5.976 and 5.976 Å, with angles of 90.00, 90.00 and 90.00 degrees. The asymmetric unit holds Rb at (0.000, 0.000, 0.000), Na at (0.000, 0.000, 0.500) and Nb at (0.500, 0.500, 0.500).



(4)
DFT (PBE) results for Rb2NaNb after structural relaxation.

The value obtained for the formation enthalpy at 0 K is 1.250 eV per atom.

The space group is I-42d (No. 122) and the conventional cell measures 10.347, 10.347 and 7.398 Å, with angles of 90.00, 90.00 and 90.00 degrees. The asymmetric unit holds Rb at (0.242, 0.250, 0.125), Na at (0.000, 0.000, 0.500) and Nb at (0.000, 0.000, 0.000).



(5)
DFT (PBE) results for RbNaNb2 after structural relaxation.

The value obtained for the formation enthalpy at 0 K is 1.791 eV per atom.

The space group is I-42d (No. 122) and the conventional cell measures 9.352, 9.352 and 5.176 Å, with angles of 90.00, 90.00 and 90.00 degrees. The asymmetric unit holds Rb at (0.000, 0.000, 0.000), Na at (0.000, 0.000, 0.500) and Nb at (0.242, 0.750, 0.625).



(6)
DFT (PBE) results for RbNa3Nb after structural relaxation.

The value obtained for the formation enthalpy at 0 K is 0.955 eV per atom.

The space group is Pm-3m (No. 221) and the conventional cell measures 6.225, 6.225 and 6.225 Å, with angles of 90.00, 90.00 and 90.00 degrees. The asymmetric unit holds Rb at (0.000, 0.000, 0.000), Na at (0.000, 0.500, 0.500) and Nb at (0.500, 0.500, 0.500).



The records above yield density of states at the Fermi level values of 1.444 1.093 0.868 1.032 1.203 0.573 states/eV per atom, respectively.